Entry 1:
Sc2Hg3 | Alexandria via LeMat-Bulk | meta-GGA SCAN | PBEsol geometry; space group = Fdd2, No. 43; calculated formation energy = -233.4 kJ/mol of formula units; N(E_F) = 9.1 states/eV/cell
1.0
0.000 7.142 2.947
5.045 0.000 2.947
5.045 7.142 0.000
Sc Hg
4 6
direct
0.243 0.757 0.366
0.616 0.884 0.493
0.757 0.243 0.634
0.884 0.616 0.007
0.139 0.800 0.084
0.166 0.272 0.111
0.272 0.166 0.450
0.388 0.388 0.612
0.638 0.638 0.862
0.800 0.139 0.978

=====

Entry 2:
Sc3Hg | Alexandria via LeMat-Bulk | meta-GGA SCAN | PBEsol geometry; space group = Pm-3m, No. 221; calculated formation energy = -147.3 kJ/mol of formula units; N(E_F) = 4.6 states/eV/cell
1.0
4.399 0.000 0.000
0.000 4.399 0.000
0.000 0.000 4.399
Sc Hg
3 1
direct
0.000 0.000 0.500
0.000 0.500 0.000
0.500 0.000 0.000
0.500 0.500 0.500

=====

Entry 3:
ScHg5 | Alexandria via LeMat-Bulk | meta-GGA SCAN | PBEsol geometry; space group = C2/m, No. 12; calculated formation energy = -108.7 kJ/mol of formula units; N(E_F) = 2.9 states/eV/cell
1.0
5.569 -1.909 0.000
5.569 1.909 0.000
-2.296 0.000 6.127
Sc Hg
1 5
direct
0.000 0.000 0.000
0.000 0.000 0.500
0.328 0.328 0.674
0.343 0.343 0.161
0.657 0.657 0.839
0.672 0.672 0.326

=====

Question: The lowest N(E_F) belongs to which entry?
Answer: ScHg5

=====

Repeat the third record exactly.
ScHg5 | Alexandria via LeMat-Bulk | meta-GGA SCAN | PBEsol geometry; space group = C2/m, No. 12; calculated formation energy = -108.7 kJ/mol of formula units; N(E_F) = 2.9 states/eV/cell
1.0
5.569 -1.909 0.000
5.569 1.909 0.000
-2.296 0.000 6.127
Sc Hg
1 5
direct
0.000 0.000 0.000
0.000 0.000 0.500
0.328 0.328 0.674
0.343 0.343 0.161
0.657 0.657 0.839
0.672 0.672 0.326

=====

Question: The lowest N(E_F) belongs to which entry?
Answer: ScHg5